MnZnMoAu2 | PBE | optimized geometry

It has space group P4/mmm (No. 123), with a = 4.6213 Å, b = 4.6213 Å, c = 4.7107 Å, α = 90.00°, β = 90.00° and γ = 90.00°. The inequivalent atoms are Mn at (0.0000, 0.0000, 0.0000), Zn at (0.5000, 0.5000, 0.5000), Mo at (0.5000, 0.5000, 0.0000) and Au at (0.0000, 0.5000, 0.5000).

The value obtained for the formation energy from the elements is 1.55 eV per atom. The calculated total energy is -20.1 eV per cell. The total magnetic moment comes out at 0.211 μB per atom.

MnAuN2 | PBE | optimized geometry

It has space group I-42d (No. 122), with a = 4.8168 Å, b = 4.8168 Å, c = 8.5360 Å, α = 90.00°, β = 90.00° and γ = 90.00°. The inequivalent atoms are Mn at (0.0000, 0.0000, 0.0000), Au at (0.0000, 0.0000, 0.5000) and N at (0.1609, 0.2500, 0.1250).

The uncorrected formation energy comes out at 165.4 kJ/mol of formula units. The calculated total energy is -109.5 eV per cell. The total magnetic moment comes out at 0.000 μB per atom. The value obtained for the distance to the lowest polymorph of the same formula is 0.0 meV/atom.

MnAuN2 | PBE | optimized geometry

It has space group R-3m (No. 166, hexagonal axes), with a = 3.2423 Å, b = 3.2423 Å, c = 17.7055 Å, α = 90.00°, β = 90.00° and γ = 120.00°. The inequivalent atoms are Mn at (0.0000, 0.0000, 0.0000), Au at (0.0000, 0.0000, 0.5000) and N at (0.0000, 0.0000, 0.1068).

The uncorrected formation energy comes out at 441.9 kJ/mol of formula units. The calculated total energy is -73.6 eV per cell. The total magnetic moment comes out at 0.903 μB per atom. The value obtained for the distance to the lowest polymorph of the same formula is 716.4 meV/atom.